# 1
{
  "formula": "Zr2Si2Bi",
  "functional": "PBEsol",
  "state": "optimized geometry",
  "volume_a3_per_cell": 99.0,
  "final_energy_ev_per_atom": -7.35,
  "spacegroup": "I4/mmm",
  "lattice": [[3.632, 0.000, 0.000], [0.000, 3.632, 0.000], [-1.816, -1.816, 7.510]],
  "species": ["Si", "Si", "Bi", "Zr", "Zr"],
  "frac_coords": [[0.250, 0.750, 0.500], [0.750, 0.250, 0.500], [0.000, 0.000, 0.000], [0.389, 0.389, 0.777], [0.611, 0.611, 0.223]]
}

# 2
{
  "formula": "Sm2Bi",
  "functional": "PBEsol",
  "state": "optimized geometry",
  "volume_a3_per_cell": 177.7,
  "formation_energy_ev_per_fu": -2.097,
  "final_energy_ev_per_atom": -5.52,
  "spacegroup": "I4/mmm",
  "lattice": [[4.493, 0.000, 0.000], [0.000, 4.493, 0.000], [-2.246, -2.246, 8.804]],
  "species": ["Bi", "Bi", "Sm", "Sm", "Sm", "Sm"],
  "frac_coords": [[0.861, 0.861, 0.722], [0.139, 0.139, 0.278], [0.321, 0.321, 0.643], [0.000, 0.500, 0.000], [0.679, 0.679, 0.357], [0.500, 0.000, 0.000]]
}

# 3
{
  "formula": "SmBi3",
  "functional": "PBEsol",
  "state": "optimized geometry",
  "volume_a3_per_cell": 235.9,
  "formation_energy_ev_per_fu": -1.802,
  "final_energy_ev_per_atom": -4.94,
  "spacegroup": "P6_3/mmc",
  "lattice": [[5.927, 0.000, 0.000], [0.000, 6.778, 0.000], [0.000, -3.389, 5.870]],
  "species": ["Bi", "Bi", "Bi", "Bi", "Bi", "Bi", "Sm", "Sm"],
  "frac_coords": [[0.750, 0.828, 0.172], [0.750, 0.828, 0.656], [0.750, 0.344, 0.172], [0.250, 0.172, 0.828], [0.250, 0.172, 0.344], [0.250, 0.656, 0.828], [0.250, 0.667, 0.333], [0.750, 0.333, 0.667]]
}